Below is an optimized crystal structure of Na4AgCl5, with properties calculated at the PBE level.

a b c (Å): 6.9316 6.9316 9.8031
angles (deg): 117.92 117.92 33.70
Sites, in units of the cell vectors:
Na (0.0988, 0.0988, 0.3967)
Na (0.2987, 0.2987, 0.1997)
Na (0.7013, 0.7013, 0.8003)
Na (0.9012, 0.9012, 0.6033)
Ag (0.5000, 0.5000, 0.0000)
Cl (0.0994, 0.0994, 0.9019)
Cl (0.2997, 0.2997, 0.6998)
Cl (0.5000, 0.5000, 0.5000)
Cl (0.7003, 0.7003, 0.3002)
Cl (0.9006, 0.9006, 0.0981)

- energy above the lowest structure with this stoichiometry (kJ/mol of formula units) = 2.2
- ΔE_f (raw) (eV/atom) = -1.53
- DFT total energy (eV/cell) = -32.6